(1)
An optimized crystal structure of YTaCo2, computed with PBEsol.

Structure (POSCAR):
```
YTaCo2
1.0
-0.876 0.976 -3.076
-2.793 -2.727 -0.070
-1.459 4.198 3.565
Co Y Ta
2 1 1
direct
0.805 0.305 0.610
0.982 0.982 0.965
0.235 0.735 0.469
0.478 0.478 0.956
```

Output
DOS at the Fermi energy in states/eV/f.u.: 3.22
E_tot in eV per cell: -34.20
Formation energy in eV per atom: 0.16
Space-group type: No. 44

(2)
An optimized crystal structure of CdHg2Ru, computed with PBEsol.

Structure (POSCAR):
```
CdHg2Ru
1.0
2.915 0.000 0.000
0.000 4.568 0.000
-1.458 -2.284 6.211
Ru Hg Cd
1 2 1
direct
0.500 0.000 0.000
0.813 0.813 0.626
0.187 0.187 0.374
0.000 0.500 0.000
```

Output
DOS at the Fermi energy in states/eV/f.u.: 2.80
E_tot in eV per cell: -11.15
Formation energy in eV per atom: 0.34
Space-group type: No. 71

(3)
An optimized crystal structure of Si2TcSe, computed with PBEsol.

Structure (POSCAR):
```
Si2TcSe
1.0
2.813 -0.038 0.000
-1.229 2.530 0.000
0.000 0.000 8.945
Si Tc Se
2 1 1
direct
0.000 0.000 0.964
0.500 0.500 0.733
0.000 0.000 0.517
0.500 0.500 0.286
```

Output
Formation energy from raw total energies in eV/f.u.: 1.3
DOS at the Fermi energy in states/eV/f.u.: 2.51
E_tot in eV per cell: -25.33
Space-group type: No. 35

(4)
An optimized crystal structure of MgInCl2, computed with PBEsol.

Structure (POSCAR):
```
MgInCl2
1.0
6.473 0.302 0.497
-2.106 6.128 -0.497
-2.106 -3.268 5.208
Mg In Cl
2 2 4
direct
0.500 0.250 0.750
0.000 0.500 0.500
0.000 0.000 0.000
0.500 0.750 0.250
0.599 0.375 0.474
0.401 0.875 0.776
0.901 0.526 0.125
0.099 0.224 0.625
```

Output
Formation energy from raw total energies in eV/f.u.: -3.5
DOS at the Fermi energy in states/eV/f.u.: 1.62
E_tot in eV per cell: -24.44
Energy above the lowest structure with this stoichiometry in meV per atom: 323.2
Space-group type: No. 122

(5)
An optimized crystal structure of MgOsRh2, computed with PBEsol.

Structure (POSCAR):
```
MgOsRh2
1.0
-0.327 1.737 -2.072
-3.218 -2.799 -1.838
-2.222 2.946 2.821
Rh Os Mg
2 1 1
direct
0.000 0.000 0.500
0.000 0.500 0.000
0.500 0.500 0.500
0.500 0.000 0.000
```

Output
DOS at the Fermi energy in states/eV/f.u.: 3.49
E_tot in eV per cell: -30.52
Formation energy in eV per atom: -0.08
Space-group type: No. 65

(6)
An optimized crystal structure of CrReNi2, computed with PBEsol.

Structure (POSCAR):
```
CrReNi2
1.0
-0.955 -1.154 2.012
4.298 0.295 0.645
-1.151 3.998 1.746
Re Ni Cr
1 2 1
direct
0.497 0.994 0.494
0.998 0.996 0.000
0.749 0.497 0.239
0.256 0.512 0.766
```

Output
DOS at the Fermi energy in states/eV/f.u.: 3.75
E_tot in eV per cell: -35.73
Energy above the lowest structure with this stoichiometry in meV per atom: 43.3
Formation energy in eV per atom: 0.04
Space-group type: No. 8

(7)
An optimized crystal structure of CaZr2FeN, computed with PBEsol.

Structure (POSCAR):
```
CaZr2FeN
1.0
-1.342 3.591 -2.337
2.315 -1.454 -3.562
-4.312 -2.714 -1.694
Fe Ca N Zr
1 1 1 2
direct
0.000 0.000 0.000
0.000 0.000 0.500
0.500 0.500 0.500
0.000 0.500 0.000
0.500 0.000 0.000
```

Output
Formation energy from raw total energies in eV/f.u.: 5.1
DOS at the Fermi energy in states/eV/f.u.: 3.36
E_tot in eV per cell: -32.66
Space-group type: No. 123

(8)
An optimized crystal structure of Os2RuPb, computed with PBEsol.

Structure (POSCAR):
```
Os2RuPb
1.0
3.805 0.000 0.000
0.000 3.805 0.000
0.000 0.000 4.367
Pb Os Ru
1 2 1
direct
0.500 0.500 0.500
0.000 0.500 0.000
0.500 0.000 0.000
0.000 0.000 0.500
```

Output
DOS at the Fermi energy in states/eV/f.u.: 5.74
E_tot in eV per cell: -34.69
Formation energy in eV per atom: 0.98
Space-group type: No. 123

(9)
An optimized crystal structure of K4Ba5, computed with PBEsol.

Structure (POSCAR):
```
K4Ba5
1.0
4.674 0.000 0.000
2.337 10.980 0.000
2.337 0.000 10.980
Ba K
5 4
direct
0.338 0.325 0.000
0.338 0.000 0.325
0.000 0.000 0.000
0.662 0.000 0.675
0.662 0.675 0.000
0.000 0.335 0.665
0.000 0.665 0.335
0.665 0.335 0.335
0.335 0.665 0.665
```

Output
DOS at the Fermi energy in states/eV/f.u.: 13.11
E_tot in eV per cell: -14.46
Formation energy in eV per atom: 0.09
Space-group type: No. 139

(10)
An optimized crystal structure of BeCdTc4, computed with PBEsol.

Structure (POSCAR):
```
BeCdTc4
1.0
-3.841 2.422 2.229
-1.926 -1.760 4.333
0.765 2.523 4.317
Be Tc Cd
1 4 1
direct
0.750 0.750 0.750
0.375 0.375 0.874
0.874 0.375 0.375
0.375 0.375 0.375
0.375 0.874 0.375
0.000 0.000 0.000
```

Output
DOS at the Fermi energy in states/eV/f.u.: 4.96
E_tot in eV per cell: -46.67
Formation energy in eV per atom: 0.60
Space-group type: No. 216

(11)
An optimized crystal structure of MgAuSe2Br, computed with PBEsol.

Structure (POSCAR):
```
MgAuSe2Br
1.0
-1.092 0.534 4.934
-2.378 -4.490 -0.040
4.318 -2.297 1.205
Se Br Mg Au
2 1 1 1
direct
0.500 0.000 0.000
0.000 0.500 0.000
0.000 0.000 0.500
0.500 0.500 0.500
0.000 0.000 0.000
```

Output
Formation energy from raw total energies in eV/f.u.: 0.6
DOS at the Fermi energy in states/eV/f.u.: 2.30
E_tot in eV per cell: -14.65
Space-group type: No. 123

(12)
An optimized crystal structure of TmInCu4, computed with PBEsol.

Structure (POSCAR):
```
TmInCu4
1.0
5.001 0.000 0.000
2.501 4.331 0.000
2.501 1.444 4.083
Tm Cu In
1 4 1
direct
0.250 0.250 0.250
0.625 0.625 0.125
0.125 0.625 0.625
0.625 0.125 0.625
0.625 0.625 0.625
0.000 0.000 0.000
```

Output
DOS at the Fermi energy in states/eV/f.u.: 0.49
E_tot in eV per cell: -27.11
Formation energy in eV per atom: -0.32
Space-group type: No. 216

(13)
An optimized crystal structure of Mn2InFe, computed with PBEsol.

Structure (POSCAR):
```
Mn2InFe
1.0
-1.663 -0.230 2.273
-0.136 -2.445 1.409
5.556 1.503 5.975
In Fe Mn
1 1 2
direct
0.000 0.000 0.000
0.500 0.500 0.500
0.761 0.761 0.718
0.239 0.239 0.282
```

Output
DOS at the Fermi energy in states/eV/f.u.: 4.12
E_tot in eV per cell: -29.43
Formation energy in eV per atom: 0.51
Space-group type: No. 166

(14)
An optimized crystal structure of RbTi3In, computed with PBEsol.

Structure (POSCAR):
```
RbTi3In
1.0
4.652 0.000 0.000
0.000 4.652 0.000
0.000 0.000 4.652
Ti Rb In
3 1 1
direct
0.500 0.000 0.000
0.000 0.000 0.500
0.000 0.500 0.000
0.000 0.000 0.000
0.500 0.500 0.500
```

Output
DOS at the Fermi energy in states/eV/f.u.: 6.25
E_tot in eV per cell: -20.16
Formation energy in eV per atom: 1.76
Space-group type: No. 221

(15)
An optimized crystal structure of KBiIr2, computed with PBEsol.

Structure (POSCAR):
```
KBiIr2
1.0
-3.009 4.934 -1.287
-4.983 -0.468 -3.764
-4.743 1.637 3.746
Ir Bi K
4 2 2
direct
0.375 0.547 0.953
0.875 0.453 0.047
0.078 0.047 0.547
0.672 0.953 0.453
0.000 0.000 0.000
0.750 0.500 0.500
0.500 0.000 0.000
0.250 0.500 0.500
```

Output
DOS at the Fermi energy in states/eV/f.u.: 2.60
E_tot in eV per cell: -41.10
Formation energy in eV per atom: 1.13
Space-group type: No. 122

(16)
An optimized crystal structure of AlSiTc, computed with PBEsol.

Structure (POSCAR):
```
AlSiTc
1.0
-0.883 0.995 2.847
1.438 -2.468 1.309
3.125 2.881 -1.772
Si Al Tc
1 1 1
direct
0.676 0.676 0.351
0.999 0.999 0.999
0.325 0.325 0.650
```

Output
Formation energy from raw total energies in eV/f.u.: -2.0
E_tot in eV per cell: -23.11
Energy above the lowest structure with this stoichiometry in meV per atom: 0.0
Space-group type: No. 107

(17)
An optimized crystal structure of Li3AlGeO5, computed with PBEsol.

Structure (POSCAR):
```
Li3AlGeO5
1.0
-1.903 4.024 1.974
-4.936 -1.632 -1.432
-1.525 -7.489 13.795
Al O Li Ge
4 20 12 4
direct
0.990 0.174 0.702
0.490 0.326 0.202
0.490 0.826 0.298
0.990 0.674 0.798
0.593 0.148 0.897
0.586 0.640 0.211
0.586 0.140 0.289
0.127 0.814 0.891
0.624 0.685 0.809
0.597 0.683 0.993
0.093 0.352 0.397
0.627 0.186 0.109
0.124 0.315 0.191
0.627 0.686 0.391
0.086 0.360 0.789
0.097 0.817 0.493
0.597 0.183 0.507
0.127 0.314 0.609
0.124 0.815 0.309
0.086 0.860 0.711
0.097 0.317 0.007
0.593 0.648 0.603
0.093 0.852 0.103
0.624 0.185 0.691
0.492 0.320 0.401
0.992 0.680 0.599
0.994 0.161 0.497
0.492 0.820 0.099
0.992 0.180 0.901
0.994 0.661 0.003
0.991 0.165 0.301
0.491 0.335 0.801
0.991 0.665 0.199
0.494 0.339 0.997
0.491 0.835 0.699
0.494 0.839 0.503
0.495 0.840 0.903
0.995 0.660 0.403
0.495 0.340 0.597
0.995 0.160 0.097
```

Output
Formation energy from raw total energies in eV/f.u.: -23.0
DOS at the Fermi energy in states/eV/f.u.: 0.00
E_tot in eV per cell: -256.71
Space-group type: No. 33

(18)
An optimized crystal structure of Li7La3Zr2O12, computed with PBEsol.

Structure (POSCAR):
```
Li7La3Zr2O12
1.0
-3.494 -6.639 -8.226
-1.197 -4.836 9.956
-6.114 9.303 -0.150
O Zr Li La
48 8 28 12
direct
0.099 0.972 0.428
0.421 0.794 0.072
0.943 0.285 0.547
0.035 0.193 0.047
0.921 0.849 0.627
0.807 0.854 0.842
0.646 0.693 0.158
0.744 0.973 0.160
0.146 0.988 0.953
0.834 0.494 0.271
0.506 0.777 0.340
0.437 0.166 0.660
0.329 0.901 0.873
0.044 0.472 0.873
0.104 0.762 0.547
0.829 0.956 0.428
0.238 0.785 0.342
0.512 0.354 0.047
0.535 0.488 0.842
0.916 0.687 0.160
0.599 0.171 0.127
0.723 0.994 0.660
0.215 0.557 0.453
0.722 0.349 0.928
0.206 0.278 0.627
0.334 0.063 0.340
0.416 0.256 0.229
0.528 0.401 0.572
0.307 0.465 0.953
0.604 0.057 0.342
0.313 0.473 0.229
0.715 0.262 0.658
0.244 0.084 0.771
0.738 0.396 0.453
0.443 0.896 0.658
0.151 0.778 0.072
0.651 0.579 0.373
0.027 0.187 0.771
0.706 0.079 0.928
0.012 0.965 0.158
0.527 0.756 0.840
0.544 0.671 0.572
0.028 0.456 0.127
0.223 0.563 0.729
0.006 0.666 0.729
0.937 0.277 0.271
0.813 0.584 0.840
0.222 0.294 0.373
0.125 0.375 0.750
0.125 0.375 0.250
0.125 0.875 0.750
0.625 0.375 0.750
0.625 0.375 0.250
0.625 0.875 0.250
0.625 0.875 0.750
0.125 0.875 0.250
0.518 0.261 0.418
0.239 0.982 0.582
0.681 0.819 0.500
0.407 0.649 0.918
0.739 0.157 0.257
0.899 0.482 0.743
0.750 0.250 0.500
0.399 0.657 0.418
0.011 0.768 0.918
0.732 0.489 0.082
0.843 0.101 0.582
0.000 0.000 0.000
0.343 0.761 0.743
0.018 0.601 0.257
0.069 0.069 0.639
0.500 0.500 0.000
0.819 0.319 0.139
0.319 0.181 0.500
0.351 0.268 0.757
0.181 0.681 0.861
0.569 0.931 0.000
0.907 0.989 0.757
0.431 0.431 0.361
0.511 0.593 0.243
0.851 0.093 0.082
0.232 0.149 0.243
0.250 0.750 0.500
0.931 0.569 0.000
0.247 0.625 0.122
0.250 0.250 0.000
0.503 0.125 0.878
0.375 0.497 0.622
0.500 0.000 0.500
0.375 0.997 0.122
0.003 0.125 0.378
0.000 0.500 0.500
0.750 0.750 0.000
0.875 0.753 0.378
0.747 0.625 0.622
0.875 0.253 0.878
```

Output
Formation energy from raw total energies in eV/f.u.: -68.1
DOS at the Fermi energy in states/eV/f.u.: 0.00
E_tot in eV per cell: -716.39
Space-group type: No. 142

(19)
An optimized crystal structure of SiHg2Pb, computed with PBEsol.

Structure (POSCAR):
```
SiHg2Pb
1.0
5.062 0.000 0.000
2.531 4.384 0.000
2.531 1.461 4.133
Hg Si Pb
2 1 1
direct
0.750 0.750 0.750
0.250 0.250 0.250
0.500 0.500 0.500
0.000 0.000 0.000
```

Output
Formation energy from raw total energies in eV/f.u.: 1.3
DOS at the Fermi energy in states/eV/f.u.: 1.84
E_tot in eV per cell: -9.56
Energy above the lowest structure with this stoichiometry in meV per atom: 101.9
Space-group type: No. 225

(20)
An optimized crystal structure of BaMnTe2Au, computed with PBEsol.

Structure (POSCAR):
```
BaMnTe2Au
1.0
-1.383 -4.146 -2.397
1.528 -2.746 3.869
-5.664 0.423 2.537
Au Ba Mn Te
1 1 1 2
direct
0.500 0.500 0.500
0.000 0.000 0.500
0.000 0.000 0.000
0.000 0.500 0.000
0.500 0.000 0.000
```

Output
Formation energy from raw total energies in eV/f.u.: 0.0
DOS at the Fermi energy in states/eV/f.u.: 3.03
E_tot in eV per cell: -22.88
Space-group type: No. 123

(21)
An optimized crystal structure of ScTePb2, computed with PBEsol.

Structure (POSCAR):
```
ScTePb2
1.0
-1.256 -3.260 -1.191
3.821 -0.173 -3.555
3.236 -2.564 3.602
Pb Te Sc
2 1 1
direct
0.500 0.500 0.000
0.000 0.000 0.000
0.000 0.500 0.500
0.500 0.000 0.500
```

Output
Formation energy from raw total energies in eV/f.u.: -1.1
DOS at the Fermi energy in states/eV/f.u.: 2.42
E_tot in eV per cell: -19.25
Space-group type: No. 47